Crystalline Mg6SiSnO8 at its relaxed geometry. Source: Alexandria, functional PBE.

Cell: 4.480 4.480 8.971 Å, 90.00 90.00 90.00°
Fractional coordinates of all 16 atoms:
Si1 0.500 0.500 0.000
O1 0.500 0.500 0.267
Mg1 0.000 0.500 0.266
O2 0.000 0.000 0.274
Mg2 0.500 0.000 0.734
O3 0.500 0.500 0.733
Mg3 0.500 0.500 0.500
O4 0.500 0.000 0.000
O5 0.500 0.000 0.500
O6 0.000 0.500 0.000
Mg4 0.000 0.500 0.734
O7 0.000 0.000 0.726
O8 0.000 0.500 0.500
Mg5 0.500 0.000 0.266
Mg6 0.000 0.000 0.500
Sn1 0.000 0.000 0.000

The total energy is -5.68 eV/atom. For the uncorrected formation energy, the calculation gives -2.02 eV per atom. Its space-group type is P4/mmm. As for the crystal system: tetragonal.